No. 1
The following is a DFT calculation (PBE-GGA) of ReAsOs3 after structural relaxation.

Properties
energy of formation from the pure elements	2.31	eV/atom
spin magnetization	0.000	Bohr magnetons per cell
ΔE to the lowest computed polymorph	284	meV/atom

The structure in POSCAR format:
```
ReAsOs3
1.0
-0.735 -4.644 -0.352
4.475 -0.605 -1.356
1.290 -0.545 4.502
Os Re As
3 1 1
direct
0.500 0.000 0.000
0.000 0.500 0.000
0.000 0.000 0.500
0.000 0.000 0.000
0.500 0.500 0.500
```

=====

No. 2
The following is a DFT calculation (PBE-GGA) of Sc6Te3As2Se after structural relaxation.

Properties
spin magnetization	0.000	Bohr magnetons per cell
uncorrected formation energy	-1.339	eV/atom

The structure in POSCAR format:
```
Sc6Te3As2Se
1.0
-2.816 2.391 -1.503
-4.174 -6.491 -2.506
-1.592 0.394 8.902
Sc Te As Se
6 3 2 1
direct
0.325 0.437 0.649
0.990 0.766 0.979
0.338 0.892 0.676
0.662 0.108 0.324
0.010 0.234 0.021
0.675 0.563 0.351
0.500 0.500 0.000
0.835 0.166 0.670
0.165 0.834 0.330
0.167 0.334 0.334
0.833 0.666 0.666
0.500 0.000 0.000
```

=====

No. 3
The following is a DFT calculation (PBE-GGA) of Cu2SbSe2 after structural relaxation.

Properties
spin magnetization	0.000	Bohr magnetons per cell
uncorrected formation energy	-0.042	eV/atom
ΔE to the lowest computed polymorph	0	meV/atom

The structure in POSCAR format:
```
Cu2SbSe2
1.0
3.828 0.000 0.000
-1.914 3.259 0.886
0.000 2.133 8.897
Cu Se Sb
2 2 1
direct
0.034 0.068 0.715
0.966 0.932 0.285
0.626 0.253 0.835
0.374 0.747 0.165
0.500 0.000 0.500
```

=====

No. 4
The following is a DFT calculation (PBE-GGA) of YMnCd2 after structural relaxation.

Properties
energy of formation from the pure elements	0.36	eV/atom
spin magnetization	0.103	Bohr magnetons per cell

The structure in POSCAR format:
```
YMnCd2
1.0
4.861 0.038 0.027
2.464 4.267 0.000
2.464 1.422 4.023
Cd Y Mn
2 1 1
direct
0.509 0.497 0.497
0.991 0.003 0.003
0.750 0.750 0.750
0.250 0.250 0.250
```

=====

No. 5
The following is a DFT calculation (PBE-GGA) of NaPaMnS4 after structural relaxation.

Properties
spin magnetization	10.001	Bohr magnetons per cell
uncorrected formation energy	-1.207	eV/atom

The structure in POSCAR format:
```
NaPaMnS4
1.0
-4.551 4.841 -3.926
0.331 -7.462 -1.998
-3.403 2.652 7.214
S Mn Pa Na
8 2 2 2
direct
0.253 0.506 0.304
0.713 0.988 0.244
0.747 0.494 0.696
0.253 0.506 0.702
0.276 0.988 0.244
0.724 0.012 0.756
0.747 0.494 0.298
0.287 0.012 0.756
0.500 0.500 0.500
0.000 0.500 0.500
0.500 0.000 0.000
0.500 0.000 0.500
0.836 0.673 0.086
0.164 0.327 0.914
```

=====

No. 6
The following is a DFT calculation (PBE-GGA) of CaU2MnN4 after structural relaxation.

Properties
spin magnetization	0.560	Bohr magnetons per cell
uncorrected formation energy	-1.088	eV/atom

The structure in POSCAR format:
```
CaU2MnN4
1.0
3.359 0.000 0.000
-1.680 5.776 0.000
0.000 0.000 11.277
N Ca U Mn
8 2 4 2
direct
0.734 0.469 0.611
0.436 0.873 0.750
0.266 0.531 0.389
0.000 0.000 0.000
0.734 0.469 0.889
0.000 0.000 0.500
0.266 0.531 0.111
0.564 0.127 0.250
0.901 0.802 0.250
0.099 0.198 0.750
0.368 0.737 0.942
0.368 0.737 0.558
0.632 0.263 0.058
0.632 0.263 0.442
0.165 0.330 0.250
0.835 0.670 0.750
```

=====

No. 7
The following is a DFT calculation (PBE-GGA) of Tl3Cu2HgCl6 after structural relaxation.

Properties
spin magnetization	0.000	Bohr magnetons per cell
uncorrected formation energy	-0.615	eV/atom

The structure in POSCAR format:
```
Tl3Cu2HgCl6
1.0
8.048 0.000 0.000
-4.024 6.970 0.000
0.000 0.000 7.798
Cu Cl Hg Tl
2 6 1 3
direct
0.333 0.667 0.245
0.667 0.333 0.755
0.824 0.176 0.728
0.824 0.649 0.728
0.649 0.824 0.272
0.176 0.351 0.272
0.176 0.824 0.272
0.351 0.176 0.728
0.000 0.000 0.500
0.000 0.000 0.000
0.333 0.667 0.615
0.667 0.333 0.385
```

=====

No. 8
The following is a DFT calculation (PBE-GGA) of YTlTe2 after structural relaxation.

Properties
spin magnetization	0.000	Bohr magnetons per cell
uncorrected formation energy	-0.684	eV/atom

The structure in POSCAR format:
```
YTlTe2
1.0
5.317 0.000 0.000
0.000 5.608 0.000
0.000 0.000 3.987
Te Tl Y
2 1 1
direct
0.000 0.000 0.000
0.500 0.500 0.000
0.500 0.000 0.500
0.000 0.500 0.500
```

=====

No. 9
The following is a DFT calculation (PBE-GGA) of TlAgOs2 after structural relaxation.

Properties
energy of formation from the pure elements	1.25	eV/atom
spin magnetization	1.918	Bohr magnetons per cell
ΔE to the lowest computed polymorph	736	meV/atom

The structure in POSCAR format:
```
TlAgOs2
1.0
1.538 -2.965 3.135
-2.048 -4.066 0.506
2.145 -3.825 -1.323
Ag Os Tl
1 2 1
direct
0.000 0.000 0.000
0.250 0.250 0.250
0.750 0.750 0.750
0.500 0.500 0.500
```

=====

No. 10
The following is a DFT calculation (PBE-GGA) of Sb2AsI8 after structural relaxation.

Properties
spin magnetization	1.030	Bohr magnetons per cell
uncorrected formation energy	-0.136	eV/atom

The structure in POSCAR format:
```
Sb2AsI8
1.0
9.454 -0.090 -0.063
0.965 8.174 0.232
0.965 3.031 7.595
I Sb As
8 2 1
direct
0.312 0.106 0.106
0.855 0.352 0.892
0.145 0.108 0.648
0.688 0.894 0.894
0.145 0.648 0.108
0.439 0.659 0.659
0.561 0.341 0.341
0.855 0.892 0.352
0.376 0.864 0.864
0.624 0.136 0.136
0.000 0.000 0.000
```

=====

No. 11
The following is a DFT calculation (PBE-GGA) of Li5Ac4Au6 after structural relaxation.

Properties
energy of formation from the pure elements	-0.60	eV/atom
spin magnetization	0.000	Bohr magnetons per cell

The structure in POSCAR format:
```
Li5Ac4Au6
1.0
-0.186 0.809 -4.300
10.612 -2.539 1.292
-3.416 -15.702 -2.805
Au Li Ac
12 10 8
direct
0.563 0.125 0.363
0.769 0.539 0.258
0.437 0.875 0.863
0.119 0.238 0.119
0.422 0.844 0.402
0.569 0.137 0.633
0.578 0.156 0.902
0.785 0.570 0.990
0.231 0.461 0.758
0.881 0.762 0.619
0.215 0.430 0.490
0.431 0.863 0.133
0.700 0.401 0.120
0.434 0.869 0.662
0.845 0.690 0.129
0.339 0.679 0.256
0.566 0.131 0.162
0.355 0.710 0.998
0.300 0.599 0.620
0.661 0.321 0.756
0.645 0.290 0.498
0.155 0.310 0.629
0.028 0.055 0.769
0.972 0.945 0.269
0.835 0.669 0.806
0.991 0.983 0.008
0.817 0.633 0.442
0.183 0.367 0.942
0.009 0.017 0.508
0.165 0.331 0.306
```

=====

No. 12
The following is a DFT calculation (PBE-GGA) of Nd2TeI after structural relaxation.

Properties
spin magnetization	0.000	Bohr magnetons per cell
uncorrected formation energy	-1.114	eV/atom
ΔE to the lowest computed polymorph	12	meV/atom

The structure in POSCAR format:
```
Nd2TeI
1.0
4.174 0.000 0.000
2.087 3.615 0.000
2.087 1.205 8.568
I Nd Te
1 2 1
direct
0.500 0.500 0.499
0.256 0.256 0.233
0.078 0.078 0.766
0.666 0.666 0.001
```

=====

Values for E_tot, eV/atom, ordered as above
-7.851, -6.356, -3.899, -4.006, -6.421, -9.469, -2.837, -4.462, -5.670, -2.436, -3.648, -4.671